(1)
The following is a DFT calculation (GGA-PBE) of a relaxed Tl2Ni3P crystal.

Results
* magnetic moment: 0.01 μB per formula unit
* uncorrected energy: -4.422 eV/atom

Structure (POSCAR):
```
Tl2Ni3P
1.0
3.714 0.000 0.000
-1.857 3.217 0.000
0.000 0.000 8.513
Ni P Tl
3 1 2
Cartesian
0.000 0.000 0.000
0.000 2.145 3.609
1.857 1.072 4.904
0.000 0.000 4.257
1.857 1.072 1.605
0.000 2.145 6.908
```

=====

(2)
The following is a DFT calculation (GGA-PBE) of a relaxed HfAgS3 crystal.

Results
* magnetic moment: 0.00 μB per formula unit
* uncorrected energy: -5.839 eV/atom

Structure (POSCAR):
```
HfAgS3
1.0
9.542 0.000 0.000
0.000 3.597 0.000
0.000 0.000 13.481
Ag Hf S
4 4 12
Cartesian
5.170 2.697 1.453
0.400 2.697 5.287
9.142 0.899 8.193
4.371 0.899 12.028
1.603 0.899 0.133
6.374 0.899 6.607
3.168 2.697 6.873
7.939 2.697 13.347
7.041 0.899 1.487
0.456 2.697 1.493
3.515 0.899 1.759
8.286 0.899 4.981
5.227 2.697 5.247
2.270 0.899 5.254
7.272 2.697 8.227
4.315 0.899 8.234
1.256 2.697 8.500
6.027 2.697 11.721
9.086 0.899 11.987
2.501 2.697 11.994
```

=====

(3)
The following is a DFT calculation (GGA-PBE) of a relaxed KTmPu crystal.

Results
* excess energy over the best structure of this formula in the dataset: 0.00 kJ/mol of atoms
* magnetic moment: 8.18 μB per formula unit

Structure (POSCAR):
```
KTmPu
1.0
0.000 4.137 4.137
4.137 0.000 4.137
4.137 4.137 0.000
K Pu Tm
1 1 1
Cartesian
2.069 2.069 2.069
6.206 6.206 6.206
0.000 0.000 0.000
```

=====

(4)
The following is a DFT calculation (GGA-PBE) of a relaxed TbCo2SiB crystal.

Results
* magnetic moment: 0.00 μB per formula unit
* uncorrected energy: -6.816 eV/atom

Structure (POSCAR):
```
TbCo2SiB
1.0
-1.866 1.866 4.700
1.866 -1.866 4.700
1.866 1.866 -4.700
B Co Si Tb
1 2 1 1
Cartesian
0.000 0.000 5.989
0.000 1.866 2.253
1.866 0.000 2.253
0.000 0.000 3.524
0.000 0.000 0.081
```

=====

(5)
The following is a DFT calculation (GGA-PBE) of a relaxed AcB2Ir2 crystal.

Results
* excess energy over the best structure of this formula in the dataset: 41.40 kJ/mol of atoms
* magnetic moment: 0.00 μB per formula unit

Structure (POSCAR):
```
AcB2Ir2
1.0
-2.006 2.006 4.980
2.006 -2.006 4.980
2.006 2.006 -4.980
Ac B Ir
1 2 2
Cartesian
0.000 0.000 0.000
0.000 2.006 2.490
2.006 0.000 2.490
0.000 0.000 3.396
0.000 0.000 6.565
```

=====

(6)
The following is a DFT calculation (GGA-PBE) of a relaxed LuFeSb2 crystal.

Results
* excess energy over the best structure of this formula in the dataset: 0.47 kJ/mol of atoms
* magnetic moment: 1.72 μB per formula unit

Structure (POSCAR):
```
LuFeSb2
1.0
0.000 3.491 3.491
3.491 0.000 3.491
3.491 3.491 0.000
Fe Lu Sb
1 1 2
Cartesian
1.746 1.746 1.746
3.491 3.491 3.491
0.000 0.000 0.000
5.237 5.237 5.237
```

=====

(7)
The following is a DFT calculation (GGA-PBE) of a relaxed Er3Zn3NiPd2 crystal.

Results
* magnetic moment: 0.00 μB per formula unit
* uncorrected energy: -4.387 eV/atom

Structure (POSCAR):
```
Er3Zn3NiPd2
1.0
-2.926 -5.327 -3.780
7.082 1.025 -0.151
0.402 -2.334 2.978
Er Ni Pd Zn
3 1 2 3
Cartesian
-1.171 -2.131 -1.512
2.833 0.410 -0.061
2.493 -2.580 -2.358
0.000 0.000 0.000
0.611 -4.376 -1.081
3.946 -2.259 0.128
-2.028 -5.225 -1.390
1.191 -2.191 0.553
5.596 -0.386 1.374
```

=====

(8)
The following is a DFT calculation (GGA-PBE) of a relaxed GdCdSO crystal.

Results
* magnetic moment: 0.01 μB per formula unit
* uncorrected energy: -5.304 eV/atom

Structure (POSCAR):
```
GdCdSO
1.0
-7.207 -1.404 -0.492
1.707 -5.388 -9.620
0.960 -6.204 3.645
Cd Gd O S
8 8 8 8
Cartesian
-5.690 -1.151 -0.429
-4.246 -3.730 -5.199
-1.611 -3.524 1.623
-0.167 -6.102 -3.146
-4.373 -6.893 -3.321
-2.929 -9.472 -8.091
-0.294 -9.266 -1.269
1.150 -11.844 -6.038
0.442 -2.339 -2.302
-1.980 -5.671 -7.336
-2.920 -4.602 -1.632
-5.342 -7.934 -6.666
0.802 -5.062 0.198
-1.620 -8.394 -4.836
-2.560 -7.324 0.868
-4.982 -10.656 -4.165
-4.404 -3.280 -2.841
-4.315 -6.123 -7.703
-0.530 -4.322 -1.570
-0.442 -7.165 -6.433
-4.098 -5.831 -0.035
-4.010 -8.674 -4.897
-0.225 -6.873 1.236
-0.136 -9.716 -3.627
-3.320 -2.346 -0.043
-6.026 -5.734 -5.097
0.355 -2.106 0.474
-2.351 -5.493 -4.579
-2.189 -7.502 -1.889
-4.895 -10.890 -6.942
1.486 -7.262 -1.371
-1.221 -10.649 -6.424
```

=====

(9)
The following is a DFT calculation (GGA-PBE) of a relaxed NbAlCoRe crystal.

Results
* excess energy over the best structure of this formula in the dataset: 0.00 kJ/mol of atoms
* magnetic moment: 0.00 μB per formula unit

Structure (POSCAR):
```
NbAlCoRe
1.0
0.000 3.069 3.069
3.069 0.000 3.069
3.069 3.069 0.000
Al Co Nb Re
1 1 1 1
Cartesian
0.000 0.000 0.000
4.604 4.604 4.604
3.069 3.069 3.069
1.535 1.535 1.535
```

=====

(10)
The following is a DFT calculation (GGA-PBE) of a relaxed YTmNi2Sn crystal.

Results
* magnetic moment: 0.00 μB per formula unit
* uncorrected energy: -5.834 eV/atom

Structure (POSCAR):
```
YTmNi2Sn
1.0
-2.916 1.779 -1.179
-4.141 -3.901 4.355
-3.042 -0.712 6.448
Ni Sn Tm Y
2 1 1 1
Cartesian
-1.429 -0.917 2.148
-5.767 -3.703 8.673
-7.178 -4.609 10.795
-4.062 -0.783 3.327
-6.029 -2.046 6.285
```

=====

(11)
The following is a DFT calculation (GGA-PBE) of a relaxed Er4Tm2LuNi2Te2 crystal.

Results
* excess energy over the best structure of this formula in the dataset: 0.40 kJ/mol of atoms
* magnetic moment: 0.00 μB per formula unit

Structure (POSCAR):
```
Er4Tm2LuNi2Te2
1.0
-2.085 0.071 8.993
-6.791 1.508 -6.070
5.829 -5.059 5.067
Er Lu Ni Te Tm
4 1 2 2 2
Cartesian
-4.663 0.249 3.589
-2.169 -0.975 5.530
1.302 -2.893 1.742
0.161 -3.470 4.880
-0.006 0.001 0.002
0.264 -1.067 3.522
2.240 -3.701 10.946
-3.003 0.534 0.989
-0.205 -2.125 7.714
-3.057 -0.686 -1.886
-1.963 -2.143 2.219
```

=====

(12)
The following is a DFT calculation (GGA-PBE) of a relaxed AcPuZr crystal.

Results
* excess energy over the best structure of this formula in the dataset: 0.00 kJ/mol of atoms
* magnetic moment: 6.34 μB per formula unit

Structure (POSCAR):
```
AcPuZr
1.0
-2.545 -4.018 2.403
-4.939 -1.310 -1.513
-0.862 -4.557 -2.624
Ac Pu Zr
1 1 1
Cartesian
-2.086 -2.471 -0.433
-6.259 -7.414 -1.300
0.000 0.000 0.000
```

=====

(13)
The following is a DFT calculation (GGA-PBE) of a relaxed TbBiNO crystal.

Results
* excess energy over the best structure of this formula in the dataset: 7.77 kJ/mol of atoms
* magnetic moment: 0.00 μB per formula unit

Structure (POSCAR):
```
TbBiNO
1.0
3.835 0.000 0.000
0.000 6.440 0.000
0.000 0.000 6.582
Bi N O Tb
2 2 2 2
Cartesian
0.000 3.584 2.139
0.000 0.365 4.443
0.000 5.893 2.429
0.000 2.673 4.153
1.918 1.887 0.442
1.918 5.107 6.141
1.918 6.370 1.255
1.918 3.150 5.327
```

=====

(14)
The following is a DFT calculation (GGA-PBE) of a relaxed Li4In2AgAu crystal.

Results
* uncorrected energy: -2.785 eV/atom

Structure (POSCAR):
```
Li4In2AgAu
1.0
-1.684 2.263 -3.648
-1.837 -3.922 -1.585
-5.483 1.236 3.298
Ag Au In Li
1 1 2 4
Cartesian
0.000 0.000 0.000
-4.502 -0.211 -0.968
-2.289 -1.652 0.032
-4.955 2.059 0.650
-1.761 -0.829 -2.616
-2.219 1.442 -0.996
-2.742 0.618 1.649
-5.025 -1.035 1.678
```

=====

(15)
The following is a DFT calculation (GGA-PBE) of a relaxed Li4InSbPd2 crystal.

Results
* uncorrected energy: -3.681 eV/atom

Structure (POSCAR):
```
Li4InSbPd2
1.0
-3.891 0.825 -2.087
-2.124 -2.702 2.892
-1.020 4.918 3.846
In Li Pd Sb
1 4 2 1
Cartesian
-0.510 2.459 1.923
0.000 0.000 0.000
-1.317 -0.122 2.407
-3.518 1.521 2.325
-2.711 4.102 1.841
-2.194 1.611 -0.107
-1.834 2.369 4.355
-3.008 -0.938 0.402
```

=====

(16)
The following is a DFT calculation (GGA-PBE) of a relaxed Ho2ErMg3CuIr2 crystal.

Results
* magnetic moment: 0.00 μB per formula unit
* uncorrected energy: -4.967 eV/atom

Structure (POSCAR):
```
Ho2ErMg3CuIr2
1.0
-1.522 -3.552 -0.753
6.172 -3.165 2.455
-5.524 1.379 4.661
Cu Er Ho Ir Mg
1 1 2 2 3
Cartesian
0.648 -1.785 7.114
0.379 -1.043 4.157
2.568 -1.317 1.022
-2.299 0.574 1.940
1.507 -3.425 2.818
-2.380 -1.914 3.551
-0.600 -2.219 1.390
1.255 -3.903 5.584
-1.642 -2.777 6.130
```

=====

(17)
The following is a DFT calculation (GGA-PBE) of a relaxed SmAgOs crystal.

Results
* excess energy over the best structure of this formula in the dataset: 41.99 kJ/mol of atoms
* magnetic moment: 0.14 μB per formula unit

Structure (POSCAR):
```
SmAgOs
1.0
3.098 0.059 3.519
3.160 3.452 0.284
-0.353 3.229 3.381
Ag Os Sm
1 1 1
Cartesian
1.476 1.685 1.796
4.429 5.055 5.388
0.000 0.000 0.000
```

=====

(18)
The following is a DFT calculation (GGA-PBE) of a relaxed Ho2Tm2InNi2Ge4 crystal.

Results
* excess energy over the best structure of this formula in the dataset: 0.40 kJ/mol of atoms
* magnetic moment: 0.00 μB per formula unit

Structure (POSCAR):
```
Ho2Tm2InNi2Ge4
1.0
-0.826 7.281 3.171
-4.624 5.493 3.492
2.432 -4.268 5.011
Ge Ho In Ni Tm
4 2 1 2 2
Cartesian
-0.451 1.442 2.706
-4.273 10.497 7.919
1.254 -1.991 3.755
-2.568 7.063 8.969
-1.725 4.132 2.610
-1.294 4.373 9.064
0.000 0.000 0.000
-3.398 8.475 7.010
0.380 0.030 4.664
-2.274 5.888 5.905
-0.745 2.617 5.770
```

=====

(19)
The following is a DFT calculation (GGA-PBE) of a relaxed Y2Sc4Au3N3 crystal.

Results
* magnetic moment: 0.02 μB per formula unit
* uncorrected energy: -7.304 eV/atom

Structure (POSCAR):
```
Y2Sc4Au3N3
1.0
4.960 -2.864 0.000
4.960 2.864 0.000
-3.321 0.000 14.201
Au N Sc Y
6 6 8 4
Cartesian
6.370 0.814 3.547
4.130 2.668 3.550
1.890 0.814 3.553
4.710 -0.814 10.648
2.470 -2.668 10.651
0.229 -0.814 10.653
2.480 -1.432 0.000
4.116 1.461 0.002
4.144 1.461 7.099
0.820 1.432 7.100
2.456 -1.461 7.102
2.483 -1.461 14.199
0.822 -0.514 1.154
7.404 -0.463 1.154
0.856 -0.463 5.946
7.438 -0.514 5.946
-0.838 0.514 8.254
5.744 0.463 8.254
-0.805 0.463 13.047
5.778 0.514 13.047
4.148 -0.468 1.571
4.112 -0.468 5.530
2.488 0.468 8.671
2.451 0.468 12.630
```

=====

(20)
The following is a DFT calculation (GGA-PBE) of a relaxed FeHgAsW crystal.

Results
* excess energy over the best structure of this formula in the dataset: 0.00 kJ/mol of atoms
* magnetic moment: 2.18 μB per formula unit

Structure (POSCAR):
```
FeHgAsW
1.0
0.000 3.178 3.178
3.178 0.000 3.178
3.178 3.178 0.000
As Fe Hg W
1 1 1 1
Cartesian
0.000 0.000 0.000
4.767 4.767 4.767
3.178 3.178 3.178
1.589 1.589 1.589
```

=====

(21)
The following is a DFT calculation (GGA-PBE) of a relaxed YHoB2Pd2N2 crystal.

Results
* magnetic moment: 0.00 μB per formula unit
* uncorrected energy: -7.474 eV/atom

Structure (POSCAR):
```
YHoB2Pd2N2
1.0
3.694 0.000 0.000
0.000 3.694 0.000
0.000 0.000 7.621
B Ho N Pd Y
2 1 2 2 1
Cartesian
0.000 0.000 2.479
1.847 1.847 5.137
0.000 0.000 6.387
0.000 0.000 1.046
1.847 1.847 6.567
1.847 0.000 3.815
0.000 1.847 3.815
1.847 1.847 1.237
```

=====

(22)
The following is a DFT calculation (GGA-PBE) of a relaxed Ba2HfGe crystal.

Results
* magnetic moment: 2.03 μB per formula unit
* uncorrected energy: -4.114 eV/atom

Structure (POSCAR):
```
Ba2HfGe
1.0
-2.156 -3.128 4.095
0.163 1.814 5.281
-4.706 1.596 2.552
Ba Ge Hf
2 1 1
Cartesian
0.000 0.000 0.000
-5.025 0.211 8.946
-3.350 0.141 5.964
-1.675 0.070 2.982
```

=====

(23)
The following is a DFT calculation (GGA-PBE) of a relaxed Rb2Ho4Cu4S9 crystal.

Results
* magnetic moment: 0.00 μB per formula unit
* uncorrected energy: -5.223 eV/atom

Structure (POSCAR):
```
Rb2Ho4Cu4S9
1.0
6.929 -1.972 0.000
6.929 1.972 0.000
-5.246 0.000 15.023
Cu Ho Rb S
4 4 2 9
Cartesian
12.681 0.000 0.585
2.066 0.000 4.070
6.545 0.000 10.953
-4.070 0.000 14.438
9.595 0.000 1.555
9.379 0.000 6.693
-0.768 0.000 8.329
-0.984 0.000 13.467
5.898 0.000 4.067
2.714 0.000 10.956
4.600 0.000 1.126
0.848 0.000 1.869
10.235 0.000 4.163
0.728 0.000 6.010
4.306 0.000 7.511
7.883 0.000 9.013
-1.623 0.000 10.859
7.763 0.000 13.154
4.012 0.000 13.897
```

=====

no.,ρ (Mg/m³)
1,10.05
2,5.49
3,5.30
4,8.01
5,13.11
6,9.26
7,9.54
8,7.08
9,10.48
10,8.31
11,9.29
12,8.73
13,8.13
14,6.74
15,6.21
16,9.15
17,10.22
18,9.16
19,8.15
20,13.32
21,8.24
22,7.08
23,5.55